*P*
First-principles (GGA-PBE) data for crystalline Ho5Te3Os at its relaxed geometry, as listed in OQMD via LeMat-Bulk.

Output
SG: P-62m

Cell lengths 8.662, 8.662, 3.763 Å; angles 90.00, 90.00, 120.00 degrees
Sites, in units of the cell vectors:
Ho1 0.000 0.229 0.000
Ho2 0.229 0.000 0.000
Ho3 0.333 0.667 0.000
Ho4 0.667 0.333 0.000
Ho5 0.771 0.771 0.000
Te1 0.000 0.567 0.500
Te2 0.433 0.433 0.500
Te3 0.567 0.000 0.500
Os1 0.000 0.000 0.500

*Q*
First-principles (GGA-PBE) data for crystalline Ho5Te3Os at its relaxed geometry, as listed in OQMD via LeMat-Bulk.

Output
SG: P-62m

Cell lengths 8.122, 8.122, 4.207 Å; angles 90.00, 90.00, 120.00 degrees
Sites, in units of the cell vectors:
Ho1 0.000 0.663 0.000
Ho2 0.333 0.667 0.500
Ho3 0.337 0.337 0.000
Ho4 0.663 0.000 0.000
Ho5 0.667 0.333 0.500
Te1 0.000 0.256 0.500
Te2 0.256 0.000 0.500
Te3 0.744 0.744 0.500
Os1 0.000 0.000 0.000

In order of decreasing stability: *P*, *Q*.

*P*
First-principles (GGA-PBE) data for crystalline Ho3Tm3Te2Os at its relaxed geometry, as listed in OQMD via LeMat-Bulk.

Output
SG: P-62m

Cell lengths 8.211, 8.211, 4.039 Å; angles 90.00, 90.00, 120.00 degrees
Sites, in units of the cell vectors:
Ho1 0.000 0.611 0.000
Ho2 0.389 0.389 0.000
Ho3 0.611 0.000 0.000
Tm1 0.000 0.238 0.500
Tm2 0.238 0.000 0.500
Tm3 0.762 0.762 0.500
Te1 0.333 0.667 0.500
Te2 0.667 0.333 0.500
Os1 0.000 0.000 0.000

*Q*
First-principles (GGA-PBE) data for crystalline Ho3Tm3Te2Os at its relaxed geometry, as listed in OQMD via LeMat-Bulk.

Output
SG: P-62m

Cell lengths 8.237, 8.237, 4.027 Å; angles 90.00, 90.00, 120.00 degrees
Sites, in units of the cell vectors:
Ho1 0.000 0.241 0.000
Ho2 0.241 0.000 0.000
Ho3 0.759 0.759 0.000
Tm1 0.000 0.614 0.500
Tm2 0.386 0.386 0.500
Tm3 0.614 0.000 0.500
Te1 0.333 0.667 0.000
Te2 0.667 0.333 0.000
Os1 0.000 0.000 0.500

In order of decreasing stability: *P*, *Q*.

*P*
First-principles (GGA-PBE) data for crystalline Ho3Zr3Te2Os at its relaxed geometry, as listed in OQMD via LeMat-Bulk.

Output
SG: P-62m

Cell lengths 8.098, 8.098, 3.820 Å; angles 90.00, 90.00, 120.00 degrees
Sites, in units of the cell vectors:
Ho1 0.000 0.399 0.000
Ho2 0.399 0.000 0.000
Ho3 0.601 0.601 0.000
Zr1 0.000 0.760 0.500
Zr2 0.240 0.240 0.500
Zr3 0.760 0.000 0.500
Te1 0.333 0.667 0.500
Te2 0.667 0.333 0.500
Os1 0.000 0.000 0.000

*Q*
First-principles (GGA-PBE) data for crystalline Ho3Zr3Te2Os at its relaxed geometry, as listed in OQMD via LeMat-Bulk.

Output
SG: P-62m

Cell lengths 8.097, 8.097, 3.761 Å; angles 90.00, 90.00, 120.00 degrees
Sites, in units of the cell vectors:
Ho1 0.000 0.753 0.000
Ho2 0.247 0.247 0.000
Ho3 0.753 0.000 0.000
Zr1 0.000 0.402 0.500
Zr2 0.402 0.000 0.500
Zr3 0.598 0.598 0.500
Te1 0.333 0.667 0.000
Te2 0.667 0.333 0.000
Os1 0.000 0.000 0.500

In order of decreasing stability: *P*, *Q*.